Density functional theory data (GGA-PBE) for a relaxed structure of PtAuBr.

POSCAR file:
```
PtAuBr
1.0
20.052 0.000 0.000
0.000 1.435 2.392
0.000 -1.435 2.392
Pt Au Br
2 2 2
Cartesian
2.434 0.000 0.000 Pt
17.618 0.000 0.000 Pt
0.000 0.000 1.640 Au
10.026 0.000 0.597 Au
6.099 0.000 2.271 Br
13.953 0.000 2.271 Br
```

Calculated values
relative energy among the computed polymorphs	0.30	eV/f.u.
M_tot	0.000	μB/cell

***

Density functional theory data (GGA-PBE) for a relaxed structure of PtAuBr.

POSCAR file:
```
PtAuBr
1.0
0.000 3.222 3.222
3.222 0.000 3.222
3.222 3.222 0.000
Pt Au Br
1 1 1
Cartesian
0.000 0.000 0.000 Pt
4.833 4.833 4.833 Au
1.611 1.611 1.611 Br
```

Calculated values
relative energy among the computed polymorphs	0.60	eV/f.u.
M_tot	0.000	μB/cell

***

Density functional theory data (GGA-PBE) for a relaxed structure of PtAu2Br.

POSCAR file:
```
PtAu2Br
1.0
-1.520 2.266 6.406
1.520 -2.266 6.406
1.520 2.266 -6.406
Pt Au Br
1 2 1
Cartesian
0.000 0.000 0.000 Pt
1.520 0.000 2.342 Au
0.000 0.000 7.051 Au
0.000 2.266 4.264 Br
```

Calculated values
relative energy among the computed polymorphs	0.18	eV/f.u.
M_tot	0.000	μB/cell